Entry 1:
An optimized crystal structure of CdCoSb2, computed with GGA-PBEsol.

abc: 3.1182 4.0795 7.0017
angles: 106.94 102.87 90.00
Fractional coordinates of all 4 atoms:
Sb1 0.7317 0.2317 0.4634
Sb2 0.9286 0.9286 0.8572
Cd1 0.5669 0.5669 0.1338
Co1 0.2728 0.7728 0.5456

Results
The space group is Imm2. As for the total magnetization: 0.00 μB/f.u. As for the raw formation energy: 121.2 meV per atom.


Entry 2:
An optimized crystal structure of CdCo2Sb, computed with GGA-PBEsol.

abc: 3.0212 4.2244 5.3610
angles: 101.07 90.00 110.95
Site moments in Bohr magnetons follow the coordinates.
Fractional coordinates of all 4 atoms:
Cd1 0.5000 0.0000 0.0000  -0.02
Co1 0.2549 0.5097 0.2888  0.56
Co2 0.7451 0.4903 0.7112  0.56
Sb1 0.0000 0.0000 0.5000  -0.02

Results
For the energy above the lowest structure with this stoichiometry, the calculation gives 157 meV/atom. The space group is C2/m. As for the total magnetization: 1.01 μB/f.u. As for the raw formation energy: 330.6 meV per atom.